Density functional theory data (PBE+U) for CaVO3 after structural relaxation.

Unit cell a=5.3993 b=7.7683 c=5.3687 alpha=90.00 beta=90.00 gamma=90.00
Space group Pnma (No. 62)
Inequivalent atoms, fractional coordinates:
Ca: 0.0401 0.2500 0.0059
V: 0.0000 0.0000 0.5000
O: 0.0174 0.7500 0.4231
O: 0.2177 0.5393 0.7992

Total magnetization   4.0 μB per cell
ρ   4.1 g/cm³
Calculated total energy   -147.2 eV/cell